Arrangement 1

This record from Alexandria via LeMat-Bulk describes crystalline Nd2MgHg2 at its relaxed geometry. The functional is PBE.

Summary:
space-group type: Ibam
size of the total moment: 0.000 μB per formula unit
theoretical density: 8.0 g/cm³
calculated volume: 29.6 Å³/atom

Cell: 7.9697 7.9697 7.9697 Å, 123.81 75.66 133.72°
Sites, in units of the cell vectors:
Nd1 0.1654 0.1788 0.3442
Nd2 0.3346 0.6788 0.0135
Nd3 0.6654 0.3212 0.9865
Nd4 0.8346 0.8212 0.6558
Mg1 0.2500 0.7500 0.5000
Mg2 0.7500 0.2500 0.5000
Hg1 0.0932 0.7771 0.8704
Hg2 0.4068 0.2771 0.6839
Hg3 0.5932 0.7229 0.3161
Hg4 0.9068 0.2229 0.1296

---

Arrangement 2

This record from Alexandria via LeMat-Bulk describes crystalline Nd2MgHg2 at its relaxed geometry. The functional is PBE.

Summary:
space-group type: P4/mbm
size of the total moment: 0.000 μB per formula unit
theoretical density: 8.5 g/cm³
calculated volume: 28.1 Å³/atom

Cell: 7.8398 7.8398 4.5649 Å, 90.00 90.00 90.00°
Sites, in units of the cell vectors:
Nd1 0.1635 0.3365 0.0000
Nd2 0.3365 0.8365 0.0000
Nd3 0.6635 0.1635 0.0000
Nd4 0.8365 0.6635 0.0000
Mg1 0.0000 0.0000 0.5000
Mg2 0.5000 0.5000 0.5000
Hg1 0.1392 0.6392 0.5000
Hg2 0.3608 0.1392 0.5000
Hg3 0.6392 0.8608 0.5000
Hg4 0.8608 0.3608 0.5000

---

The calculated energies rank the structures as follows, beginning with the most stable: arrangement 2, arrangement 1.